(1)
{"formula": "Mg8Ru", "functional": "meta-GGA SCAN", "state": "single point on PBEsol structure", "lattice": [[-2.1530, 2.2933, 1.6127], [-6.4960, -1.0725, -3.2730], [-2.7106, -3.8106, 5.6739]], "species": ["Mg", "Mg", "Mg", "Mg", "Mg", "Mg", "Mg", "Mg", "Ru"], "frac_coords": [[0.3518, 0.0000, 0.2964], [0.6482, 0.7036, 0.0000], [0.0000, 0.6710, 0.3290], [0.3518, 0.2964, 0.0000], [0.6710, 0.3290, 0.3290], [0.6482, 0.0000, 0.7036], [0.3290, 0.6710, 0.6710], [0.0000, 0.3290, 0.6710], [0.0000, 0.0000, 0.0000]], "dos_ef_per_ev_cell": 2.770, "spacegroup": "I4/mmm, No. 139", "mass_density_g_cm3": 2.725, "e_form_ev_per_atom": -0.008, "total_magnetization_mub_per_cell": 0.000}

=====

(2)
{"formula": "Mg3Ru", "functional": "meta-GGA SCAN", "state": "single point on PBEsol structure", "lattice": [[-0.8274, 1.1932, -3.2991], [-3.1415, -2.9952, -0.2954], [-2.8392, 2.8075, 1.7275]], "species": ["Mg", "Mg", "Mg", "Ru"], "frac_coords": [[0.0000, 0.5000, 0.5000], [0.5000, 0.5000, 0.0000], [0.5000, 0.0000, 0.5000], [0.0000, 0.0000, 0.0000]], "dos_ef_per_ev_cell": 2.028, "spacegroup": "P4/mmm, No. 123", "mass_density_g_cm3": 4.235, "e_form_ev_per_atom": 0.017, "total_magnetization_mub_per_cell": 0.000}